Material: Pm8Ga3SBr4
Method: DFT, PBE
State: relaxed

- Formation energy without anion corrections: -1084 meV/atom
- Space group: R-3m, No. 166
- Total energy: -4.70 eV per atom

Lattice parameters (Å, degrees): 8.7100 8.7100 8.7100 58.03 58.03 58.03
Last column: nearest neighbours and their distance in Å.
Fractional coordinates of all 16 atoms:
Pm1 0.2410 0.2410 0.2410  3 Ga 2.92, 3 Br 3.15
Pm2 0.2432 0.7359 0.7359  1 S 2.86, 2 Ga 2.91, 2 Br 3.18
Pm3 0.2641 0.2641 0.7568  1 S 2.86, 2 Ga 2.91, 2 Br 3.18
Pm4 0.2641 0.7568 0.2641  1 S 2.86, 2 Ga 2.91, 2 Br 3.18
Pm5 0.7359 0.2432 0.7359  1 S 2.86, 2 Ga 2.91, 2 Br 3.18
Pm6 0.7359 0.7359 0.2432  1 S 2.86, 2 Ga 2.91, 2 Br 3.18
Pm7 0.7568 0.2641 0.2641  1 S 2.86, 2 Ga 2.91, 2 Br 3.18
Pm8 0.7590 0.7590 0.7590  3 Ga 2.92, 3 Br 3.15
Ga1 0.0000 0.0000 0.5000  6 Pm 2.91-2.92
Ga2 0.0000 0.5000 0.0000  6 Pm 2.91-2.92
Ga3 0.5000 0.0000 0.0000  6 Pm 2.91-2.92
S1 0.5000 0.5000 0.5000  6 Pm 2.86
Br1 0.0000 0.0000 0.0000  6 Pm 3.22
Br2 0.0000 0.5000 0.5000  6 Pm 3.15-3.18
Br3 0.5000 0.0000 0.5000  6 Pm 3.15-3.18
Br4 0.5000 0.5000 0.0000  6 Pm 3.15-3.18